Here is a relaxed structure of LiFeH4 from the Alexandria database. Energies are from PBE-GGA.

Results
- Final energy: -0.2947 Ry/atom
- Space-group type: C2/c (15)

Cell lengths 4.868, 4.868, 4.569 Å; angles 106.80, 106.80, 111.22 degrees
Sites, in units of the cell vectors:
Li1 0.143 0.857 0.750
Li2 0.857 0.143 0.250
Fe1 0.489 0.511 0.750
Fe2 0.511 0.489 0.250
H1 0.192 0.319 0.846
H2 0.265 0.560 0.445
H3 0.319 0.192 0.346
H4 0.440 0.735 0.055
H5 0.560 0.265 0.945
H6 0.681 0.808 0.654
H7 0.735 0.440 0.555
H8 0.808 0.681 0.154